Record 1
Below is a geometry-optimized Mg2GeHRh structure, with properties calculated at the PBE level.

As for the density of states at the Fermi level: 0.31 states/eV/atom. The value obtained for the calculated total energy is -19.940 eV/cell.

The structure belongs to space group P4/mmm (No. 123); the cell edges are 4.322, 4.322 and 3.688 Å and the angles 90.00°, 90.00° and 90.00°. Symmetry generates all atoms from Mg at (0.000, 0.500, 0.000), Ge at (0.000, 0.000, 0.500), H at (0.500, 0.500, 0.000) and Rh at (0.500, 0.500, 0.500).

Record 2
Below is a geometry-optimized Mg2GeHRu structure, with properties calculated at the PBE level.

As for the density of states at the Fermi level: 0.30 states/eV/atom. The value obtained for the calculated total energy is -20.959 eV/cell.

The structure belongs to space group P4/mmm (No. 123); the cell edges are 4.313, 4.313 and 3.642 Å and the angles 90.00°, 90.00° and 90.00°. Symmetry generates all atoms from Mg at (0.000, 0.500, 0.000), Ge at (0.000, 0.000, 0.500), H at (0.500, 0.500, 0.000) and Ru at (0.500, 0.500, 0.500).

Record 3
Below is a geometry-optimized SrMgGe2H structure, with properties calculated at the PBE level.

As for the density of states at the Fermi level: 0.33 states/eV/atom. The value obtained for the calculated total energy is -16.023 eV/cell.

The structure belongs to space group P4/mmm (No. 123); the cell edges are 4.652, 4.652 and 4.493 Å and the angles 90.00°, 90.00° and 90.00°. Symmetry generates all atoms from Sr at (0.000, 0.000, 0.000), Mg at (0.500, 0.500, 0.000), Ge at (0.000, 0.500, 0.500) and H at (0.000, 0.000, 0.500).